A plane-wave DFT calculation with PBE was carried out for a relaxed NaLiInNi crystal.

a b c (Å): 4.622 4.622 4.622
angles (deg): 60.00 60.00 60.00
Element x y z (fractional)
Na  0.250  0.250  0.250
Ni  0.500  0.500  0.500
In  0.750  0.750  0.750
Li  0.000  0.000  0.000

formation enthalpy at 0 K	6	meV/atom
density	4838	kg/m3
total magnetic moment	0.0	μB per formula unit
calculated volume	17.5	Å³ per atom



A plane-wave DFT calculation with PBE was carried out for a relaxed Li2MgPd2 crystal.

a b c (Å): 5.272 6.708 6.275
angles (deg): 122.31 114.84 90.00
Element x y z (fractional)
Pd  0.172  0.941  0.344
Mg  0.750  0.500  0.000
Pd  0.828  0.059  0.656
Pd  0.328  0.597  0.656
Li  0.593  0.964  0.187
Mg  0.250  0.500  0.000
Li  0.407  0.036  0.813
Li  0.093  0.222  0.187
Li  0.907  0.778  0.813
Pd  0.672  0.403  0.344

formation enthalpy at 0 K	-215	meV/atom
density	5123	kg/m3
total magnetic moment	0.0	μB per formula unit
calculated volume	16.3	Å³ per atom



A plane-wave DFT calculation with PBE was carried out for a relaxed BaIrCl2 crystal.

a b c (Å): 5.464 5.464 5.153
angles (deg): 65.44 65.44 102.20
Site moments in Bohr magnetons follow the coordinates.
Element x y z (fractional)
Ba  0.000  0.500  0.500  -0.01
Cl  0.000  0.000  0.000  0.01
Cl  0.500  0.500  0.000  0.01
Ir  0.500  0.000  0.500  0.72

density	5901	kg/m3
formation energy from raw total energies	-36.1	kJ/mol of atoms
total magnetic moment	0.8	μB per formula unit
calculated volume	28.2	Å³ per atom



A plane-wave DFT calculation with PBE was carried out for a relaxed EuTm2Th crystal.

a b c (Å): 3.612 3.612 10.158
angles (deg): 90.00 90.00 90.00
Site moments in Bohr magnetons follow the coordinates.
Element x y z (fractional)
Th  0.500  0.500  0.000  -0.02
Tm  0.000  0.000  0.229  0.09
Eu  0.500  0.500  0.500  6.95
Tm  0.000  0.000  0.771  0.09

formation enthalpy at 0 K	47	meV/atom
density	9047	kg/m3
total magnetic moment	7.6	μB per formula unit
calculated volume	33.1	Å³ per atom



A plane-wave DFT calculation with PBE was carried out for a relaxed KRb2InBr5 crystal.

a b c (Å): 5.165 10.178 13.863
angles (deg): 90.00 90.00 104.70
Element x y z (fractional)
Rb  0.886  0.771  0.192
K  0.212  0.423  0.023
Br  0.287  0.575  0.675
Br  0.512  0.024  0.267
Rb  0.144  0.288  0.318
Br  0.962  0.924  0.519
Br  0.378  0.756  0.004
Br  0.669  0.338  0.874
Br  0.331  0.662  0.374
In  0.530  0.060  0.953
K  0.788  0.577  0.523
Br  0.488  0.976  0.767
Br  0.622  0.244  0.504
Br  0.038  0.076  0.019
Rb  0.114  0.229  0.692
In  0.470  0.940  0.453
Br  0.713  0.425  0.175
Rb  0.856  0.712  0.818

density	3413	kg/m3
formation energy from raw total energies	-134.1	kJ/mol of atoms
total magnetic moment	0.0	μB per formula unit
calculated volume	39.2	Å³ per atom



A plane-wave DFT calculation with PBE was carried out for a relaxed Mn3FeGe crystal.

a b c (Å): 4.674 4.674 4.674
angles (deg): 90.00 90.00 90.00
Site moments in Bohr magnetons follow the coordinates.
Element x y z (fractional)
Mn  0.000  0.000  0.500  3.79
Mn  0.500  0.000  0.000  3.53
Fe  0.500  0.500  0.500  0.06
Mn  0.000  0.500  0.000  3.68
Ge  0.000  0.000  0.000  -0.19

formation enthalpy at 0 K	1332	meV/atom
density	4770	kg/m3
total magnetic moment	11.2	μB per formula unit
calculated volume	20.4	Å³ per atom



Calculated total energy
In order: -2.9324 -3.3766 -3.9931 -6.6122 -2.9609 -6.7861
Unit: eV per atom